# 1
Material: CrRePb2
Method: DFT, PBE-GGA
State: optimized geometry

Properties
As for the space-group type: Cmmm. Its density of states at the Fermi level is 0.793 states/eV/atom. The value obtained for the energy above the most stable polymorph in this dataset is 660.7 meV per atom.

Cell lengths 3.2189, 3.2189, 9.0228 Å; angles 90.00, 90.00, 116.02 degrees
Last column: nearest neighbours and their distance in Å.
Element x y z (fractional)
1 Re 0.5000 0.5000 0.2500  4 Pb 2.81
2 Pb 0.0000 0.0000 0.0030  2 Re 2.81, 2 Cr 2.85
3 Pb 0.0000 0.0000 0.4970  2 Re 2.81, 2 Cr 2.85
4 Cr 0.5000 0.5000 0.7500  4 Pb 2.85

# 2
Material: Y4HoEr2Mg
Method: DFT, PBE-GGA
State: optimized geometry

Properties
As for the space-group type: P4/mmm. Its density of states at the Fermi level is 1.587 states/eV/atom.

Cell lengths 4.9683, 4.9736, 11.1054 Å; angles 63.36, 90.00, 90.00 degrees
Last column: nearest neighbours and their distance in Å.
Element x y z (fractional)
1 Er 0.5000 0.0000 0.5000  4 Ho 3.51-3.52, 8 Y 3.53-3.54
2 Er 0.0000 0.0000 0.0000  8 Y 3.49-3.50, 4 Mg 3.51-3.52
3 Y 0.5000 0.2474 0.7530  4 Er 3.49-3.54, 2 Mg 3.49, 4 Y 3.51-3.52, 2 Ho 3.53
4 Y 0.0000 0.7477 0.7523  2 Mg 3.49, 4 Er 3.50-3.53, 4 Y 3.51-3.52, 2 Ho 3.53
5 Y 0.5000 0.7526 0.2470  4 Er 3.49-3.54, 2 Mg 3.49, 4 Y 3.51-3.52, 2 Ho 3.53
6 Y 0.0000 0.2523 0.2477  2 Mg 3.49, 4 Er 3.50-3.53, 4 Y 3.51-3.52, 2 Ho 3.53
7 Ho 0.0000 0.5000 0.5000  4 Er 3.51-3.52, 8 Y 3.53
8 Mg 0.5000 0.5000 0.0000  8 Y 3.49, 4 Er 3.51-3.52

Number 1: calculated volume 84.0 Å³/cell, calculated formation energy 4.277 eV/f.u., M_tot 3.4 μB per formula unit. Number 2: calculated volume 245.3 Å³/cell, calculated formation energy 0.186 eV/f.u., M_tot 0.0 μB per formula unit.